DFT (PBE) results for an optimized crystal structure of ErHIr.

```
ErHIr
1.0
4.021 0.000 0.000
0.000 3.953 0.000
-0.084 0.000 6.849
Er H Ir
2 2 2
direct
0.246 0.250 0.296
0.754 0.750 0.704
0.194 0.250 0.963
0.806 0.750 0.037
0.260 0.750 0.999
0.740 0.250 0.001
```

Calculated values
Symmetry: No. 11
DOS at the Fermi energy, states/eV per atom: 0.37
ρ, g/cm3: 10.998

=====

DFT (PBE) results for an optimized crystal structure of ErH6Ir.

```
ErH6Ir
1.0
2.197 1.269 3.849
-2.197 1.269 3.849
0.000 -2.537 3.849
Er H Ir
1 6 1
direct
0.000 0.000 0.000
0.057 0.602 0.602
0.398 0.398 0.943
0.398 0.943 0.398
0.602 0.057 0.602
0.602 0.602 0.057
0.943 0.398 0.398
0.500 0.500 0.500
```

Calculated values
Symmetry: No. 166
DOS at the Fermi energy, states/eV per atom: 0.00
ρ, g/cm3: 9.428

=====

DFT (PBE) results for an optimized crystal structure of Er2HIr.

```
Er2HIr
1.0
6.823 -1.828 0.000
6.823 1.828 0.000
-2.646 0.000 6.175
Er H Ir
4 2 2
direct
0.014 0.014 0.256
0.287 0.287 0.248
0.713 0.713 0.752
0.986 0.986 0.744
0.109 0.109 0.602
0.891 0.891 0.398
0.382 0.382 0.932
0.618 0.618 0.068
```

Calculated values
Symmetry: No. 12
DOS at the Fermi energy, states/eV per atom: 0.46
ρ, g/cm3: 11.381

=====

DFT (PBE) results for an optimized crystal structure of Er12H5Ir3.

```
Er12H5Ir3
1.0
-7.465 7.465 7.465
7.465 -7.465 7.465
7.465 7.465 -7.465
Er H Ir
48 20 12
direct
0.027 0.217 0.122
0.027 0.310 0.905
0.095 0.622 0.405
0.095 0.717 0.690
0.095 0.878 0.405
0.095 0.973 0.690
0.122 0.027 0.217
0.122 0.595 0.905
0.190 0.217 0.595
0.190 0.473 0.595
0.217 0.122 0.027
0.217 0.595 0.190
0.283 0.310 0.905
0.283 0.473 0.378
0.310 0.905 0.027
0.310 0.905 0.283
0.378 0.283 0.473
0.378 0.595 0.905
0.405 0.095 0.622
0.405 0.095 0.878
0.405 0.810 0.527
0.405 0.810 0.783
0.473 0.378 0.283
0.473 0.595 0.190
0.527 0.405 0.810
0.527 0.622 0.717
0.595 0.190 0.217
0.595 0.190 0.473
0.595 0.905 0.122
0.595 0.905 0.378
0.622 0.405 0.095
0.622 0.717 0.527
0.690 0.095 0.717
0.690 0.095 0.973
0.717 0.527 0.622
0.717 0.690 0.095
0.783 0.405 0.810
0.783 0.878 0.973
0.810 0.527 0.405
0.810 0.783 0.405
0.878 0.405 0.095
0.878 0.973 0.783
0.905 0.027 0.310
0.905 0.122 0.595
0.905 0.283 0.310
0.905 0.378 0.595
0.973 0.690 0.095
0.973 0.783 0.878
0.000 0.000 0.000
0.000 0.000 0.500
0.000 0.500 0.000
0.000 0.500 0.500
0.125 0.750 0.875
0.125 0.875 0.250
0.250 0.125 0.875
0.250 0.625 0.375
0.375 0.250 0.625
0.375 0.625 0.750
0.500 0.000 0.000
0.500 0.000 0.500
0.500 0.500 0.000
0.500 0.500 0.500
0.625 0.375 0.250
0.625 0.750 0.375
0.750 0.375 0.625
0.750 0.875 0.125
0.875 0.125 0.750
0.875 0.250 0.125
0.125 0.250 0.375
0.125 0.375 0.750
0.250 0.375 0.125
0.250 0.875 0.625
0.375 0.125 0.250
0.375 0.750 0.125
0.625 0.250 0.875
0.625 0.875 0.750
0.750 0.125 0.375
0.750 0.625 0.875
0.875 0.625 0.250
0.875 0.750 0.625
```

Calculated values
Symmetry: No. 230
DOS at the Fermi energy, states/eV per atom: 0.74
ρ, g/cm3: 10.333

=====

DFT (PBE) results for an optimized crystal structure of Er2HIr.

```
Er2HIr
1.0
2.061 1.190 7.009
-2.061 1.190 7.009
0.000 -2.380 7.009
Er H Ir
2 1 1
direct
0.101 0.101 0.101
0.899 0.899 0.899
0.000 0.000 0.000
0.500 0.500 0.500
```

Calculated values
Symmetry: No. 166
DOS at the Fermi energy, states/eV per atom: 0.31
ρ, g/cm3: 8.498

=====

DFT (PBE) results for an optimized crystal structure of LaErH8Ir2.

```
LaErH8Ir2
1.0
2.435 1.406 6.206
-2.435 1.406 6.206
0.000 -2.812 6.206
La Er H Ir
1 1 8 2
direct
0.000 0.000 0.000
0.500 0.500 0.500
0.058 0.873 0.393
0.127 0.607 0.942
0.320 0.320 0.320
0.393 0.058 0.873
0.607 0.942 0.127
0.680 0.680 0.680
0.873 0.393 0.058
0.942 0.127 0.607
0.233 0.233 0.233
0.767 0.767 0.767
```

Calculated values
Symmetry: No. 148
DOS at the Fermi energy, states/eV per atom: 0.16
ρ, g/cm3: 9.103

=====

DFT (PBE) results for an optimized crystal structure of ErMgH8Ir2.

```
ErMgH8Ir2
1.0
2.338 1.350 5.380
-2.338 1.350 5.380
0.000 -2.700 5.380
Er Mg H Ir
1 1 8 2
direct
0.000 0.000 0.000
0.500 0.500 0.500
0.108 0.554 0.554
0.320 0.320 0.320
0.446 0.446 0.892
0.446 0.892 0.446
0.554 0.108 0.554
0.554 0.554 0.108
0.680 0.680 0.680
0.892 0.446 0.446
0.219 0.219 0.219
0.781 0.781 0.781
```

Calculated values
Symmetry: No. 166
DOS at the Fermi energy, states/eV per atom: 0.16
ρ, g/cm3: 9.517

=====

DFT (PBE) results for an optimized crystal structure of ErMgH6Ir2.

```
ErMgH6Ir2
1.0
2.279 1.315 5.139
-2.279 1.315 5.139
0.000 -2.631 5.139
Er Mg H Ir
1 1 6 2
direct
0.000 0.000 0.000
0.500 0.500 0.500
0.055 0.559 0.559
0.441 0.441 0.945
0.441 0.945 0.441
0.559 0.055 0.559
0.559 0.559 0.055
0.945 0.441 0.441
0.210 0.210 0.210
0.790 0.790 0.790
```

Calculated values
Symmetry: No. 166
DOS at the Fermi energy, states/eV per atom: 0.25
ρ, g/cm3: 10.457

=====

In order of appearance, total energy = -34.9; -37.0; -48.4; -432.3; -23.3; -57.7; -53.0; -47.9 eV per cell.